A plane-wave DFT calculation with GGA-PBE was carried out for an optimized crystal structure of CuPt2PbO8.

For the density of states at the Fermi level, the calculation gives 4.661 states/eV per cell. For the volume, the calculation gives 160.06 Å³ per cell. The formation energy from raw total energies is -0.1198 eV per atom. The mass density is 8.2 Mg/m³.

It has space group P-3 (No. 147), with a = 5.5142 Å, b = 5.5142 Å, c = 6.0783 Å, α = 90.00°, β = 90.00° and γ = 120.00°. The inequivalent atoms are Cu at (0.0000, 0.0000, 0.0000), Pt at (0.3333, 0.6667, 0.9541), Pb at (0.0000, 0.0000, 0.5000), O at (0.0520, 0.3619, 0.1445) and O at (0.3333, 0.6667, 0.6341).